P:
! RbNaSb2, optimized geometry, DFT PBE-GGA; values from VASP
! Space group   No. 225
&SYSTEM
  ibrav = 0, nat = 4, ntyp = 3
/
ATOMIC_SPECIES
Sb 121.76 Sb.upf
Rb 85.47 Rb.upf
Na 22.99 Na.upf
ATOMIC_POSITIONS crystal
Sb 0.2500 0.2500 0.2500
Sb 0.7500 0.7500 0.7500
Rb 0.5000 0.5000 0.5000
Na 0.0000 0.0000 0.0000
CELL_PARAMETERS angstrom
0.0000 4.0356 4.0356
4.0356 0.0000 4.0356
4.0356 4.0356 0.0000



Q:
! RbNaSb2, optimized geometry, DFT PBE-GGA; values from VASP
! Space group   No. 63
&SYSTEM
  ibrav = 0, nat = 8, ntyp = 3
/
ATOMIC_SPECIES
Rb 85.47 Rb.upf
Na 22.99 Na.upf
Sb 121.76 Sb.upf
ATOMIC_POSITIONS crystal
Rb 0.9283 0.8567 0.2500
Rb 0.0717 0.1433 0.7500
Na 0.2062 0.4123 0.2500
Na 0.7938 0.5877 0.7500
Sb 0.3933 0.7865 0.9437
Sb 0.6067 0.2135 0.0563
Sb 0.6067 0.2135 0.4437
Sb 0.3933 0.7865 0.5563
CELL_PARAMETERS angstrom
-4.3833 -3.5933 -0.3518
2.9695 1.5000 -6.4854
4.6995 -5.8117 0.8075



It comes down to Q, which is 28.8 kJ/mol of atoms more stable than the next structure.



P:
! Rb3NaSb, optimized geometry, DFT PBE-GGA; values from VASP
! Space group   No. 46
&SYSTEM
  ibrav = 0, nat = 10, ntyp = 3
/
ATOMIC_SPECIES
Rb 85.47 Rb.upf
Na 22.99 Na.upf
Sb 121.76 Sb.upf
ATOMIC_POSITIONS crystal
Rb 0.0360 0.2613 0.7291
Rb 0.0360 0.8069 0.2747
Rb 0.5322 0.7613 0.7253
Rb 0.1114 0.2791 0.3323
Rb 0.5322 0.3069 0.2709
Rb 0.9468 0.7791 0.6677
Na 0.5289 0.0299 0.9990
Na 0.0309 0.5299 0.0010
Sb 0.5395 0.7811 0.2585
Sb 0.5226 0.2811 0.7415
CELL_PARAMETERS angstrom
9.0918 -0.5523 -0.4261
-4.9439 7.6501 0.4261
-4.6116 -2.0659 7.5903



Q:
! Rb3NaSb, optimized geometry, DFT PBE-GGA; values from VASP
! Space group   No. 221
&SYSTEM
  ibrav = 0, nat = 5, ntyp = 3
/
ATOMIC_SPECIES
Sb 121.76 Sb.upf
Rb 85.47 Rb.upf
Na 22.99 Na.upf
ATOMIC_POSITIONS crystal
Sb 0.0000 0.0000 0.0000
Rb 0.0000 0.5000 0.0000
Rb 0.0000 0.0000 0.5000
Rb 0.5000 0.0000 0.0000
Na 0.5000 0.5000 0.5000
CELL_PARAMETERS angstrom
7.1580 0.0000 0.0000
0.0000 7.1580 0.0000
0.0000 0.0000 7.1580



It comes down to P, which is 8.1 kJ/mol of atoms more stable than the next structure.



P:
! RbNaTlSb, optimized geometry, DFT PBE-GGA; values from VASP
! Space group   No. 160
&SYSTEM
  ibrav = 0, nat = 4, ntyp = 4
/
ATOMIC_SPECIES
Rb 85.47 Rb.upf
Na 22.99 Na.upf
Tl 204.38 Tl.upf
Sb 121.76 Sb.upf
ATOMIC_POSITIONS crystal
Rb 0.6109 0.2217 0.4746
Na 0.1425 0.2851 0.0697
Tl 0.3990 0.7981 0.8394
Sb 0.8139 0.6277 0.0837
CELL_PARAMETERS angstrom
-4.6962 2.2451 0.8879
0.2591 -4.8457 -2.0815
1.2946 -0.0534 6.9856



Q:
! RbNaTlSb, optimized geometry, DFT PBE-GGA; values from VASP
! Space group   No. 216
&SYSTEM
  ibrav = 0, nat = 4, ntyp = 4
/
ATOMIC_SPECIES
Sb 121.76 Sb.upf
Tl 204.38 Tl.upf
Rb 85.47 Rb.upf
Na 22.99 Na.upf
ATOMIC_POSITIONS crystal
Sb 0.7500 0.7500 0.7500
Tl 0.5000 0.5000 0.5000
Rb 0.2500 0.2500 0.2500
Na 0.0000 0.0000 0.0000
CELL_PARAMETERS angstrom
5.7448 0.0000 0.0000
2.8724 4.9752 0.0000
2.8724 1.6584 4.6906



It comes down to P, which is 6.2 kJ/mol of atoms more stable than the next structure.



P:
! RbNaSc2, optimized geometry, DFT PBE-GGA; values from VASP
! Space group   No. 166
&SYSTEM
  ibrav = 0, nat = 4, ntyp = 3
/
ATOMIC_SPECIES
Sc 44.96 Sc.upf
Na 22.99 Na.upf
Rb 85.47 Rb.upf
ATOMIC_POSITIONS crystal
Sc 0.9106 0.9106 0.9106
Sc 0.0894 0.0894 0.0894
Na 0.5000 0.5000 0.5000
Rb 0.0000 0.0000 0.0000
CELL_PARAMETERS angstrom
1.9477 0.0000 12.9707
-0.9739 1.6868 12.9707
-0.9739 -1.6868 12.9707



Q:
! RbNaSc2, optimized geometry, DFT PBE-GGA; values from VASP
! Space group   No. 225
&SYSTEM
  ibrav = 0, nat = 4, ntyp = 3
/
ATOMIC_SPECIES
Sc 44.96 Sc.upf
Na 22.99 Na.upf
Rb 85.47 Rb.upf
ATOMIC_POSITIONS crystal
Sc 0.2500 0.2500 0.2500
Sc 0.7500 0.7500 0.7500
Na 0.0000 0.0000 0.0000
Rb 0.5000 0.5000 0.5000
CELL_PARAMETERS angstrom
-3.0885 3.5803 3.3787
-3.5946 3.8831 -2.4027
-5.7518 -0.6865 0.4676



It comes down to P, which is 28.8 kJ/mol of atoms more stable than the next structure.